{
  "formula": "RbTmHg2",
  "functional": "GGA-PBE",
  "state": "optimized geometry",
  "rho_g_cm3": 8.68,
  "dos_ef_per_ev_atom": 0.976,
  "delta_e_f_kj_per_mol_atoms": -22.6,
  "e_above_lowest_polymorph_ev_per_atom": 0.000,
  "energy_ev_per_atom": -1.74,
  "space_group": "P4/mmm, No. 123",
  "lattice_angstrom": [[-1.024, 3.459, -1.264], [-3.630, -1.170, -0.260], [-1.397, 2.540, 8.080]],
  "species": ["Hg", "Hg", "Tm", "Rb"],
  "fractional_positions": [[0.000, 0.000, 0.811], [0.000, 0.000, 0.189], [0.500, 0.500, 0.000], [0.500, 0.500, 0.500]]
}